A relaxed Mn2Au5 crystal, computed with GGA-PBEsol.

Cell and atoms, written as CIF:
```
data_Mn2Au5
_cell_length_a 9.076
_cell_length_b 3.858
_cell_length_c 6.482
_cell_angle_alpha 90.00
_cell_angle_beta 97.18
_cell_angle_gamma 90.00
_space_group_name_H-M_alt 'C 1 2/m 1'
_space_group_IT_number 12
_space_group_name_Hall '-C 2y'
loop_
_atom_site_label
_atom_site_type_symbol
_atom_site_fract_x
_atom_site_fract_y
_atom_site_fract_z
Mn1 Mn 0.076 0.000 0.218
Au1 Au 0.000 0.500 0.500
Au2 Au 0.137 0.500 0.932
Au3 Au 0.214 0.000 0.645
```

Output
Crystal system: monoclinic
Spin magnetization in μB per formula unit: 8.31
E_tot in eV per atom: -5.62
Mass density in Mg/m³: 16.15
Calculated formation energy in eV/f.u.: -0.18

---

A relaxed MnAu5 crystal, computed with GGA-PBEsol.

Cell and atoms, written as CIF:
```
data_MnAu5
_cell_length_a 4.726
_cell_length_b 2.851
_cell_length_c 14.709
_cell_angle_alpha 90.00
_cell_angle_beta 90.00
_cell_angle_gamma 90.00
_space_group_name_H-M_alt 'A m m 2'
_space_group_IT_number 38
_space_group_name_Hall 'A 2 -2'
loop_
_atom_site_label
_atom_site_type_symbol
_atom_site_fract_x
_atom_site_fract_y
_atom_site_fract_z
Mn1 Mn 0.000 0.000 0.000
Au1 Au 0.000 0.000 0.338
Au2 Au 0.000 0.000 0.662
Au3 Au 0.500 0.000 0.225
Au4 Au 0.500 0.000 0.557
Au5 Au 0.500 0.000 0.893
```

Output
Crystal system: orthorhombic
Spin magnetization in μB per formula unit: 4.20
E_tot in eV per atom: -4.86
Mass density in Mg/m³: 17.42
Calculated formation energy in eV/f.u.: 0.21

---

Among the records above, which one has the lowest calculated formation energy?
Mn2Au5

---

spin magnetization of number 2 (MnAu5)?
4.20 μB per formula unit